Record 1
! LaMnF2, relaxed, DFT PBE+U; values from VASP
&SYSTEM
  ibrav = 0, nat = 4, ntyp = 3
/
ATOMIC_SPECIES
La 138.91 La.upf
Mn 54.94 Mn.upf
F 19.00 F.upf
CELL_PARAMETERS angstrom
0.000 3.253 3.253
3.253 0.000 3.253
3.253 3.253 0.000
ATOMIC_POSITIONS crystal
La 0.000 0.000 0.000
Mn 0.500 0.500 0.500
F 0.250 0.250 0.250
F 0.750 0.750 0.750
! - crystal system = cubic
! - density of states at the Fermi level (states/eV/f.u.) = 1.90
! - total DFT energy (no corrections) (eV/atom) = -5.7194



Record 2
! LaMnF3, relaxed, DFT PBE+U; values from VASP
&SYSTEM
  ibrav = 0, nat = 5, ntyp = 3
/
ATOMIC_SPECIES
La 138.91 La.upf
Mn 54.94 Mn.upf
F 19.00 F.upf
CELL_PARAMETERS angstrom
4.772 0.000 0.000
0.000 4.772 0.000
0.000 0.000 4.772
ATOMIC_POSITIONS crystal
La 0.000 0.000 0.000
Mn 0.500 0.500 0.500
F 0.000 0.000 0.500
F 0.000 0.500 0.000
F 0.500 0.000 0.000
! - crystal system = cubic
! - density of states at the Fermi level (states/eV/f.u.) = 0.00
! - total DFT energy (no corrections) (eV/atom) = -6.2802



Record 3
! La2MnF8, relaxed, DFT PBE+U; values from VASP
&SYSTEM
  ibrav = 0, nat = 11, ntyp = 3
/
ATOMIC_SPECIES
La 138.91 La.upf
Mn 54.94 Mn.upf
F 19.00 F.upf
CELL_PARAMETERS angstrom
7.315 -1.988 0.000
7.315 1.988 0.000
-2.014 0.000 5.064
ATOMIC_POSITIONS crystal
La 0.166 0.166 0.162
La 0.834 0.834 0.838
Mn 0.500 0.500 0.500
F 0.028 0.028 0.753
F 0.221 0.221 0.629
F 0.333 0.333 0.121
F 0.409 0.409 0.713
F 0.591 0.591 0.287
F 0.667 0.667 0.879
F 0.779 0.779 0.371
F 0.972 0.972 0.247
! - crystal system = monoclinic
! - density of states at the Fermi level (states/eV/f.u.) = 0.00
! - total DFT energy (no corrections) (eV/atom) = -6.3590



Record 4
! LaMnF2, relaxed, DFT PBE+U; values from VASP
&SYSTEM
  ibrav = 0, nat = 8, ntyp = 3
/
ATOMIC_SPECIES
La 138.91 La.upf
Mn 54.94 Mn.upf
F 19.00 F.upf
CELL_PARAMETERS angstrom
-2.577 2.577 7.438
2.577 -2.577 7.438
2.577 2.577 -7.438
ATOMIC_POSITIONS crystal
La 0.000 0.000 0.000
La 0.750 0.250 0.500
Mn 0.250 0.750 0.500
Mn 0.500 0.500 0.000
F 0.375 0.228 0.353
F 0.772 0.125 0.147
F 0.875 0.022 0.647
F 0.978 0.625 0.853
! - crystal system = tetragonal
! - density of states at the Fermi level (states/eV/f.u.) = 2.25
! - total DFT energy (no corrections) (eV/atom) = -6.0325



Record 5
! LaMnF2, relaxed, DFT PBE+U; values from VASP
&SYSTEM
  ibrav = 0, nat = 4, ntyp = 3
/
ATOMIC_SPECIES
La 138.91 La.upf
Mn 54.94 Mn.upf
F 19.00 F.upf
CELL_PARAMETERS angstrom
1.689 0.975 7.971
-1.689 0.975 7.971
0.000 -1.950 7.971
ATOMIC_POSITIONS crystal
La 0.000 0.000 0.000
Mn 0.500 0.500 0.500
F 0.402 0.402 0.402
F 0.598 0.598 0.598
! - crystal system = trigonal
! - density of states at the Fermi level (states/eV/f.u.) = 2.38
! - total DFT energy (no corrections) (eV/atom) = -6.0576



Record 6
! La3MnF, relaxed, DFT PBE+U; values from VASP
&SYSTEM
  ibrav = 0, nat = 5, ntyp = 3
/
ATOMIC_SPECIES
La 138.91 La.upf
Mn 54.94 Mn.upf
F 19.00 F.upf
CELL_PARAMETERS angstrom
5.164 0.000 0.000
0.000 5.164 0.000
0.000 0.000 5.164
ATOMIC_POSITIONS crystal
La 0.000 0.000 0.500
La 0.000 0.500 0.000
La 0.500 0.000 0.000
Mn 0.500 0.500 0.500
F 0.000 0.000 0.000
! - crystal system = cubic
! - density of states at the Fermi level (states/eV/f.u.) = 4.05
! - total DFT energy (no corrections) (eV/atom) = -5.6669



Record 7
! LaMnNF2, relaxed, DFT PBE+U; values from VASP
&SYSTEM
  ibrav = 0, nat = 5, ntyp = 4
/
ATOMIC_SPECIES
La 138.91 La.upf
Mn 54.94 Mn.upf
N 14.01 N.upf
F 19.00 F.upf
CELL_PARAMETERS angstrom
4.620 0.000 0.000
0.000 4.620 0.000
0.000 0.000 4.783
ATOMIC_POSITIONS crystal
La 0.000 0.000 0.000
Mn 0.500 0.500 0.500
N 0.000 0.000 0.500
F 0.000 0.500 0.000
F 0.500 0.000 0.000
! - crystal system = tetragonal
! - density of states at the Fermi level (states/eV/f.u.) = 1.32
! - total DFT energy (no corrections) (eV/atom) = -6.3840



Record 8
! LaMnNF2, relaxed, DFT PBE+U; values from VASP
&SYSTEM
  ibrav = 0, nat = 5, ntyp = 4
/
ATOMIC_SPECIES
La 138.91 La.upf
Mn 54.94 Mn.upf
N 14.01 N.upf
F 19.00 F.upf
CELL_PARAMETERS angstrom
4.028 0.000 0.000
0.000 4.028 0.000
0.000 0.000 4.456
ATOMIC_POSITIONS crystal
La 0.000 0.000 0.000
Mn 0.500 0.500 0.500
N 0.500 0.500 0.000
F 0.000 0.500 0.500
F 0.500 0.000 0.500
! - crystal system = tetragonal
! - density of states at the Fermi level (states/eV/f.u.) = 0.95
! - total DFT energy (no corrections) (eV/atom) = -6.8108